GGA-PBE BaNbAlFe2, optimized geometry; total DFT energy (no corrections) = -4.78 eV/atom; formation energy = 1749 meV per atom; ρ = 5.6 g/cm3; magnetic moment = 2.75 μB per formula unit
1.0
-1.420 2.761 -3.234
3.848 -1.931 -3.338
-2.838 -3.154 -1.447
Ba Al Nb Fe
1 1 1 2
direct
0.000 0.500 0.000 Ba
0.000 0.000 0.000 Al
0.500 0.500 0.500 Nb
0.500 0.000 0.000 Fe
0.000 0.000 0.500 Fe